# 1
Compound: PaZnReO6
Source: the Alexandria database
Functional: GGA-PBE
Structure: relaxed

The structure in extended XYZ format:
```
18
Lattice="-1.942 3.600 3.626 -3.322 -2.133 -3.781 -2.027 -6.690 5.556" Properties=species:S:1:pos:R:3 pbc="T T T"
O -3.243 1.920 3.001
O -4.766 -0.346 3.148
O -1.057 0.355 1.914
O -3.699 0.173 0.731
O -2.538 -1.884 2.108
O -4.752 -3.339 3.294
O -3.592 -5.396 4.670
O -5.142 -5.104 1.026
O -2.148 -0.119 4.376
O -6.234 -5.578 3.487
O -4.047 -7.143 2.401
O -2.525 -4.877 2.254
Re -4.382 -5.240 2.855
Re -2.909 0.016 2.546
Pa -3.922 -3.329 5.324
Pa -3.369 -1.895 0.077
Zn -1.014 -3.345 2.778
Zn 0.000 0.000 0.000
```

Results
E_form (uncorrected), meV/atom: -2097
DOS at the Fermi energy, states/eV per atom: 0.576
Final energy, eV per atom: -7.982
SG: No. 163


# 2
Compound: Nd2DyHg2Pb2
Source: the Alexandria database
Functional: GGA-PBE
Structure: relaxed

The structure in extended XYZ format:
```
7
Lattice="-4.879 1.526 -0.068 -2.529 0.283 -4.434 -5.189 -8.048 -0.502" Properties=species:S:1:pos:R:3 pbc="T T T"
Pb -2.929 -0.861 -1.332
Pb -9.667 -5.378 -3.673
Nd -4.130 -4.680 -0.891
Nd -8.466 -1.558 -4.113
Dy 0.000 0.000 0.000
Hg -5.733 -1.320 -2.710
Hg -6.864 -4.918 -2.295
```

Results
Formation energy from the elements, eV per atom: -0.233
DOS at the Fermi energy, states/eV per atom: 0.835
Final energy, eV per atom: -3.398
SG: No. 166


# 3
Compound: PmPr4DyTm2
Source: the Alexandria database
Functional: GGA-PBE
Structure: relaxed

The structure in extended XYZ format:
```
8
Lattice="3.646 0.000 0.000 0.000 6.287 0.099 0.000 1.923 11.764" Properties=species:S:1:pos:R:3 pbc="T T T"
Tm 1.823 0.961 5.882
Tm 0.000 1.923 11.764
Pr 3.646 2.049 2.969
Pr 0.000 6.161 8.895
Pr 1.823 5.202 2.976
Pr 1.823 3.008 8.887
Pm 0.000 4.105 5.932
Dy 1.823 3.144 0.050
```

Results
Formation energy from the elements, eV per atom: 0.016
DOS at the Fermi energy, states/eV per atom: 1.283
Final energy, eV per atom: -4.660
SG: No. 10


# 4
Compound: Ba8In6O17
Source: the Alexandria database
Functional: GGA-PBE
Structure: relaxed

The structure in extended XYZ format:
```
31
Lattice="-13.103 7.158 -2.457 9.144 -10.493 5.936 1.133 3.733 4.847" Properties=species:S:1:pos:R:3 pbc="T T T"
Ba 2.433 -3.290 8.088
Ba -2.244 1.313 1.580
Ba 3.879 -3.561 3.685
Ba -3.617 1.494 5.601
Ba 0.792 -1.096 2.725
Ba -5.258 3.688 0.238
Ba -6.704 3.959 4.641
Ba -0.581 -0.915 6.747
O -1.979 -1.668 1.740
O -5.032 0.754 0.588
O -0.847 -2.313 4.461
O 0.567 1.867 2.424
O 1.036 0.319 5.004
O -8.294 5.899 3.828
O -7.547 4.826 -0.411
O -4.973 3.023 2.820
O 5.469 -5.501 4.499
O 6.742 -6.271 7.240
O -9.568 6.669 1.087
O 1.073 -4.089 2.891
O 4.721 -4.428 8.738
O 2.147 -2.625 5.506
O -1.979 2.711 3.866
O -3.862 0.079 3.323
O 0.000 0.000 0.000
In -3.386 4.271 3.279
In -5.690 1.087 2.690
In 2.865 -0.689 5.637
In -0.067 2.070 4.530
In -2.759 -1.672 3.796
In 0.561 -3.873 5.048
```

Results
E_form (uncorrected), meV/atom: -2026
Final energy, eV per atom: -5.771
SG: No. 12


# 5
Compound: PmPr2Nd2Y
Source: the Alexandria database
Functional: GGA-PBE
Structure: relaxed

The structure in extended XYZ format:
```
12
Lattice="5.802 0.000 0.000 0.000 7.165 0.000 0.000 0.000 10.023" Properties=species:S:1:pos:R:3 pbc="T T T"
Pr 0.000 5.427 8.289
Pr 2.901 3.637 0.003
Pr 0.000 1.845 1.734
Pr 2.901 0.054 10.020
Pm 2.901 5.429 3.394
Pm 2.901 1.846 6.629
Nd 2.901 5.427 6.692
Nd 0.000 5.429 1.660
Nd 0.000 1.846 8.363
Nd 2.901 1.845 3.331
Y 0.000 3.637 5.011
Y 0.000 0.055 5.012
```

Results
Formation energy from the elements, eV per atom: 0.049
DOS at the Fermi energy, states/eV per atom: 1.552
Final energy, eV per atom: -5.003
SG: No. 51


# 6
Compound: ErMg3Tl2F12
Source: the Alexandria database
Functional: GGA-PBE
Structure: relaxed

The structure in extended XYZ format:
```
18
Lattice="6.649 -0.427 -0.303 2.912 5.993 -0.303 2.912 1.695 5.756" Properties=species:S:1:pos:R:3 pbc="T T T"
F 3.139 1.827 3.290
F 4.775 0.898 0.637
F 7.698 6.363 4.513
F 5.017 2.920 5.016
F 5.017 5.700 1.098
F 9.334 3.551 4.513
F 7.434 1.548 1.098
F 7.456 1.561 4.052
F 5.039 5.713 4.052
F 7.456 4.340 0.133
F 9.334 5.433 1.860
F 3.139 3.709 0.637
Mg 1.456 0.848 2.878
Mg 1.456 2.996 -0.152
Mg 3.325 -0.214 -0.152
Er 0.000 0.000 0.000
Tl 7.562 4.401 3.122
Tl 4.911 2.859 2.028
```

Results
E_form (uncorrected), meV/atom: -3080
DOS at the Fermi energy, states/eV per atom: 0.341
Final energy, eV per atom: -5.109
SG: No. 166


# 7
Compound: YHo4TlS8
Source: the Alexandria database
Functional: GGA-PBE
Structure: relaxed

The structure in extended XYZ format:
```
14
Lattice="8.171 0.000 0.000 4.086 7.077 0.000 4.086 2.359 6.709" Properties=species:S:1:pos:R:3 pbc="T T T"
Ho 8.171 4.718 0.833
Ho 2.109 1.218 3.383
Ho 4.086 4.641 3.383
Ho 6.062 1.218 3.383
S 8.171 7.381 4.907
S 5.865 3.386 4.907
S 10.332 5.965 1.731
S 4.086 2.359 2.024
S 6.011 5.965 1.731
S 12.257 7.077 4.883
S 10.478 3.386 4.907
S 8.171 2.223 1.731
Tl 8.171 4.718 5.893
Y 4.086 2.359 6.623
```

Results
E_form (uncorrected), meV/atom: -1817
Final energy, eV per atom: -6.114
SG: No. 160


# 8
Compound: KCdIr2
Source: the Alexandria database
Functional: GGA-PBE
Structure: relaxed

The structure in extended XYZ format:
```
4
Lattice="-2.261 -1.356 4.775 1.531 -4.778 2.141 2.513 4.377 -2.069" Properties=species:S:1:pos:R:3 pbc="T T T"
K 1.839 -1.734 1.765
Ir -0.365 -3.067 3.458
Ir 0.000 0.000 0.000
Cd -0.057 -0.023 3.082
```

Results
Formation energy from the elements, eV per atom: 0.945
DOS at the Fermi energy, states/eV per atom: 1.427
Final energy, eV per atom: -3.989
SG: No. 139